A plane-wave DFT calculation with GGA-PBE was carried out for a relaxed structure of NaPr2P3Pt12.

Lattice parameters (Å, degrees): 7.4809 7.4809 7.4809 68.97 68.97 68.97
Last column: nearest neighbours and their distance in Å.
Fractional positions:
Na 0.0000 0.0000 0.0000  6 Pt 2.57
Pr 0.3919 0.3919 0.3919  6 Pt 2.85-3.11
Pr 0.6081 0.6081 0.6081  6 Pt 2.85-3.11
P 0.0000 0.0000 0.5000  6 Pt 2.25-2.34
P 0.0000 0.5000 0.0000  6 Pt 2.25-2.34
P 0.5000 0.0000 0.0000  6 Pt 2.25-2.34
Pt 0.1033 0.6649 0.6649  2 P 2.34
Pt 0.1370 0.1370 0.6242  1 P 2.25
Pt 0.1370 0.6242 0.1370  1 P 2.25
Pt 0.3351 0.3351 0.8967  2 P 2.34
Pt 0.3351 0.8967 0.3351  2 P 2.34
Pt 0.3758 0.8630 0.8630  1 P 2.25
Pt 0.6242 0.1370 0.1370  1 P 2.25
Pt 0.6649 0.1033 0.6649  2 P 2.34
Pt 0.6649 0.6649 0.1033  2 P 2.34
Pt 0.8630 0.3758 0.8630  1 P 2.25
Pt 0.8630 0.8630 0.3758  1 P 2.25
Pt 0.8967 0.3351 0.3351  2 P 2.34

Output
* raw total energy: -106.4 eV per cell
* energy relative to the elements: -0.376 eV/atom
* DOS at the Fermi energy: 4.2 states/eV/cell


A plane-wave DFT calculation with GGA-PBE was carried out for a relaxed structure of Ni2OsPdN.

Lattice parameters (Å, degrees): 3.9054 3.9054 3.8922 90.00 90.00 90.00
Last column: nearest neighbours and their distance in Å.
Fractional positions:
Ni 0.0000 0.5000 0.0000  2 N 1.95
Ni 0.5000 0.0000 0.0000  2 N 1.95
Os 0.0000 0.0000 0.5000  2 N 1.95
Pd 0.5000 0.5000 0.5000  8 Ni 2.76, 4 Os 2.76
N 0.0000 0.0000 0.0000  2 Os 1.95, 4 Ni 1.95

Output
* raw total energy: -35.2 eV per cell
* DOS at the Fermi energy: 8.0 states/eV/cell
* formation energy (no corrections): 0.227 eV/atom


A plane-wave DFT calculation with GGA-PBE was carried out for a relaxed structure of Sm2BeAlAu6.

Lattice parameters (Å, degrees): 6.1357 6.4429 6.9678 63.64 64.28 61.91
Last column: nearest neighbours and their distance in Å.
Fractional positions:
Sm 0.2324 0.2034 0.3336  7 Au 3.07-3.37
Sm 0.7676 0.7966 0.6664  7 Au 3.07-3.37
Be 0.0000 0.0000 0.0000  6 Au 2.27-2.31
Al 0.5000 0.5000 0.5000  6 Au 2.52-2.57
Au 0.2009 0.2808 0.8337  1 Be 2.27
Au 0.2385 0.7620 0.7606  1 Be 2.31, 1 Al 2.52
Au 0.3212 0.7247 0.1614  1 Be 2.27
Au 0.6788 0.2753 0.8386  1 Be 2.27
Au 0.7615 0.2380 0.2394  1 Be 2.31, 1 Al 2.52
Au 0.7991 0.7192 0.1663  1 Be 2.27

Output
* raw total energy: -41.6 eV per cell
* energy relative to the elements: -0.504 eV/atom
* DOS at the Fermi energy: 4.1 states/eV/cell


A plane-wave DFT calculation with GGA-PBE was carried out for a relaxed structure of ScBrO2F.

Lattice parameters (Å, degrees): 4.2732 4.2732 4.0464 90.00 90.00 90.00
Last column: nearest neighbours and their distance in Å.
Fractional positions:
Sc 0.0000 0.0000 0.0000  2 F 2.02, 4 O 2.14
Br 0.5000 0.5000 0.5000  8 O 2.94, 4 F 3.02
O 0.0000 0.5000 0.0000  2 Sc 2.14
O 0.5000 0.0000 0.0000  2 Sc 2.14
F 0.0000 0.0000 0.5000  2 Sc 2.02

Output
* raw total energy: -27.7 eV per cell
* DOS at the Fermi energy: 3.9 states/eV/cell
* formation energy (no corrections): -1.578 eV/atom


A plane-wave DFT calculation with GGA-PBE was carried out for a relaxed structure of Ca3NdAg4.

Lattice parameters (Å, degrees): 9.1019 9.1019 9.1019 33.61 33.61 33.61
Last column: nearest neighbours and their distance in Å.
Fractional positions:
Ca 0.0000 0.0000 0.0000  8 Ag 3.23-3.26
Ca 0.2511 0.2511 0.2511  8 Ag 3.20-3.25
Ca 0.7489 0.7489 0.7489  8 Ag 3.20-3.25
Nd 0.5000 0.5000 0.5000  8 Ag 3.19-3.21
Ag 0.1267 0.1267 0.1267  5 Ca 3.20-3.26, 3 Nd 3.21
Ag 0.3762 0.3762 0.3762  1 Nd 3.19, 7 Ca 3.20-3.23
Ag 0.6238 0.6238 0.6238  1 Nd 3.19, 7 Ca 3.20-3.23
Ag 0.8733 0.8733 0.8733  5 Ca 3.20-3.26, 3 Nd 3.21

Output
* raw total energy: -24.6 eV per cell
* energy relative to the elements: -0.308 eV/atom
* DOS at the Fermi energy: 5.3 states/eV/cell


A plane-wave DFT calculation with GGA-PBE was carried out for a relaxed structure of BaWAu.

Lattice parameters (Å, degrees): 7.4065 7.4065 7.4065 155.12 155.12 35.47
Last column: nearest neighbours and their distance in Å.
Fractional positions:
Ba 0.0000 0.0000 0.0000  4 Ba 3.19, 4 W 3.54, 4 Au 3.56
W 0.6929 0.6929 0.0000  4 Au 2.75
Au 0.3049 0.3049 0.0000  4 W 2.75

Output
* raw total energy: -15.9 eV per cell
* energy relative to the elements: 0.763 eV/atom
* DOS at the Fermi energy: 1.8 states/eV/cell
* energy above the lowest structure with this stoichiometry: 0.005 eV per atom


A plane-wave DFT calculation with GGA-PBE was carried out for a relaxed structure of Cr2OsPb.

Lattice parameters (Å, degrees): 4.7367 4.7367 4.9954 100.51 100.51 36.73
Last column: nearest neighbours and their distance in Å.
Fractional positions:
Cr 0.2391 0.2391 0.1643  2 Cr 2.26
Cr 0.7609 0.7609 0.8357  2 Cr 2.26
Os 0.5000 0.5000 0.0000  6 Cr 2.62-2.63, 4 Pb 2.91
Pb 0.0000 0.0000 0.5000  4 Os 2.91, 6 Cr 2.97-3.01, 2 Pb 2.98

Output
* raw total energy: -31.4 eV per cell
* energy relative to the elements: 0.695 eV/atom
* DOS at the Fermi energy: 3.6 states/eV/cell


A plane-wave DFT calculation with GGA-PBE was carried out for a relaxed structure of Ta2BePd2.

Lattice parameters (Å, degrees): 7.7018 7.7018 2.8865 90.00 90.00 90.00
Last column: nearest neighbours and their distance in Å.
Fractional positions:
Ta 0.1712 0.3288 0.0000  6 Pd 2.64-2.73, 2 Be 2.86, 2 Ta 2.89
Ta 0.3288 0.8288 0.0000  6 Pd 2.64-2.73, 2 Be 2.86, 2 Ta 2.89
Ta 0.6712 0.1712 0.0000  6 Pd 2.64-2.73, 2 Be 2.86, 2 Ta 2.89
Ta 0.8288 0.6712 0.0000  6 Pd 2.64-2.73, 2 Be 2.86, 2 Ta 2.89
Be 0.0000 0.0000 0.0000  4 Ta 2.86, 2 Be 2.89
Be 0.5000 0.5000 0.0000  4 Ta 2.86, 2 Be 2.89
Pd 0.1261 0.6261 0.5000  6 Ta 2.64-2.73, 3 Pd 2.75-2.89
Pd 0.3739 0.1261 0.5000  6 Ta 2.64-2.73, 3 Pd 2.75-2.89
Pd 0.6261 0.8739 0.5000  6 Ta 2.64-2.73, 3 Pd 2.75-2.89
Pd 0.8739 0.3739 0.5000  6 Ta 2.64-2.73, 3 Pd 2.75-2.89

Output
* raw total energy: -72.6 eV per cell
* energy relative to the elements: 0.303 eV/atom
* DOS at the Fermi energy: 6.3 states/eV/cell
* energy above the lowest structure with this stoichiometry: 0.000 eV per atom


- Among the records above, which one has the lowest raw total energy?
  NaPr2P3Pt12


- Which formula does entry 3 have?
  Sm2BeAlAu6


- Number 1 is which compound?
  NaPr2P3Pt12